An optimized crystal structure of Li4MnP2O8, computed with PBEsol.

Geometry as CIF:
```
data_Li4MnP2O8
_cell_length_a 8.1807
_cell_length_b 10.3156
_cell_length_c 8.1188
_cell_angle_alpha 90.00
_cell_angle_beta 104.65
_cell_angle_gamma 90.00
_symmetry_space_group_name_H-M 'P 1 21/c 1'
_symmetry_Int_Tables_number 14
_symmetry_space_group_name_Hall '-P 2ybc'
loop_
_atom_site_label
_atom_site_type_symbol
_atom_site_fract_x
_atom_site_fract_y
_atom_site_fract_z
_atom_site_occupancy
Li1 Li 0.0204 0.0754 0.2713 1
Li2 Li 0.0966 0.1619 0.5984 1
Li3 Li 0.1554 0.6632 0.6555 1
Li4 Li 0.3454 0.1522 0.3463 1
Mn1 Mn 0.4101 0.6546 0.4091 1
P1 P 0.2035 0.0936 0.9716 1
P2 P 0.2686 0.5904 0.0309 1
O1 O 0.0548 0.0999 0.8102 1
O2 O 0.1208 0.6537 0.0903 1
O3 O 0.1555 0.1546 0.1269 1
O4 O 0.2223 0.0505 0.4753 1
O5 O 0.2509 0.5512 0.5103 1
O6 O 0.3021 0.6684 0.8792 1
O7 O 0.3557 0.1685 0.9353 1
O8 O 0.4327 0.5991 0.1784 1
```

Values from the calculation:
Energy ... -7.009 eV per atom
Distance to the lowest polymorph of the same formula ... 0.0 kJ/mol of atoms
N(E_F) ... 0.000 states/eV/atom
Formation energy without anion corrections ... -2262.1 meV per atom